No. 1
! Ti12GaNi6, optimized geometry, DFT PBE; values from VASP
&SYSTEM
  ibrav = 0, nat = 19, ntyp = 3
/
ATOMIC_SPECIES
Ti 47.87 Ti.upf
Ga 69.72 Ga.upf
Ni 58.69 Ni.upf
CELL_PARAMETERS angstrom
6.031 3.482 2.213
-6.031 3.482 2.213
0.000 -6.964 2.213
ATOMIC_POSITIONS crystal
Ti 0.118 0.730 0.162
Ti 0.162 0.118 0.730
Ti 0.192 0.472 0.351
Ti 0.270 0.838 0.882
Ti 0.351 0.192 0.472
Ti 0.472 0.351 0.192
Ti 0.528 0.649 0.808
Ti 0.649 0.808 0.528
Ti 0.730 0.162 0.118
Ti 0.808 0.528 0.649
Ti 0.838 0.882 0.270
Ti 0.882 0.270 0.838
Ga 0.000 0.000 0.000
Ni 0.050 0.360 0.584
Ni 0.360 0.584 0.050
Ni 0.416 0.950 0.640
Ni 0.584 0.050 0.360
Ni 0.640 0.416 0.950
Ni 0.950 0.640 0.416
! SG: R-3
! E in eV per atom: -7.212
! Total magnetization in μB per atom: 0.000
! Mass density in kg/m3: 5934
! Calculated formation energy in eV per atom: -0.241

---

No. 2
! CeY6Sc2, optimized geometry, DFT PBE; values from VASP
&SYSTEM
  ibrav = 0, nat = 18, ntyp = 3
/
ATOMIC_SPECIES
Ce 140.12 Ce.upf
Y 88.91 Y.upf
Sc 44.96 Sc.upf
CELL_PARAMETERS angstrom
5.936 0.000 0.000
1.914 8.416 0.000
2.550 2.851 10.983
ATOMIC_POSITIONS crystal
Ce 0.232 0.471 0.080
Ce 0.768 0.529 0.920
Y 0.021 0.864 0.916
Y 0.147 0.364 0.405
Y 0.157 0.981 0.602
Y 0.313 0.579 0.756
Y 0.385 0.712 0.413
Y 0.464 0.808 0.090
Y 0.536 0.192 0.910
Y 0.615 0.288 0.587
Y 0.687 0.421 0.244
Y 0.843 0.019 0.398
Y 0.853 0.636 0.595
Y 0.979 0.136 0.084
Sc 0.076 0.256 0.757
Sc 0.423 0.094 0.237
Sc 0.577 0.906 0.763
Sc 0.924 0.744 0.243
! SG: P-1
! E in eV per atom: -6.296
! Total magnetization in μB per atom: 0.108
! Mass density in kg/m3: 4621
! Calculated formation energy in eV per atom: 0.080